Density functional theory data (PBE) for MgTi3Mo after structural relaxation.

Lattice parameters (Å, degrees): 4.7894 4.7894 4.7894 90.00 90.00 90.00
Last column: nearest neighbours and their distance in Å.
Element x y z (fractional)
Mg  0.0000  0.0000  0.0000  12 Ti 3.39
Ti  0.0000  0.5000  0.5000  2 Mo 2.39
Ti  0.5000  0.0000  0.5000  2 Mo 2.39
Ti  0.5000  0.5000  0.0000  2 Mo 2.39
Mo  0.5000  0.5000  0.5000  6 Ti 2.39

Crystal system: cubic



Density functional theory data (PBE) for MgTi2Mo2 after structural relaxation.

Lattice parameters (Å, degrees): 7.1923 7.1923 3.3127 90.00 90.00 90.00
Last column: nearest neighbours and their distance in Å.
Element x y z (fractional)
Mg  0.0000  0.0000  0.0000  4 Ti 2.80
Mg  0.5000  0.5000  0.0000  4 Ti 2.80
Ti  0.1358  0.3642  0.0000  6 Mo 2.65-2.71, 1 Ti 2.76, 2 Mg 2.80
Ti  0.3642  0.8642  0.0000  6 Mo 2.65-2.71, 1 Ti 2.76, 2 Mg 2.80
Ti  0.6358  0.1358  0.0000  6 Mo 2.65-2.71, 1 Ti 2.76, 2 Mg 2.80
Ti  0.8642  0.6358  0.0000  6 Mo 2.65-2.71, 1 Ti 2.76, 2 Mg 2.80
Mo  0.1611  0.6611  0.5000  6 Ti 2.65-2.71
Mo  0.3389  0.1611  0.5000  6 Ti 2.65-2.71
Mo  0.6611  0.8389  0.5000  6 Ti 2.65-2.71
Mo  0.8389  0.3389  0.5000  6 Ti 2.65-2.71

Crystal system: tetragonal



Density functional theory data (PBE) for Mg3TiMo after structural relaxation.

Lattice parameters (Å, degrees): 4.9829 4.9829 4.9829 90.00 90.00 90.00
Last column: nearest neighbours and their distance in Å.
Element x y z (fractional)
Mg  0.0000  0.0000  0.5000  2 Mo 2.49
Mg  0.0000  0.5000  0.0000  2 Mo 2.49
Mg  0.5000  0.0000  0.0000  2 Mo 2.49
Ti  0.5000  0.5000  0.5000  12 Mg 3.52
Mo  0.0000  0.0000  0.0000  6 Mg 2.49

Crystal system: cubic



Number 1: DOS(E_F) 9.5 states/eV/f.u., DFT total energy -6.53 eV/atom, volume 21.972 A^3/atom. Number 2: DOS(E_F) 3.6 states/eV/f.u., DFT total energy -7.59 eV/atom, volume 17.136 A^3/atom. Number 3: DOS(E_F) 5.1 states/eV/f.u., DFT total energy -3.36 eV/atom, volume 24.745 A^3/atom.